#P
TlCoB2: optimized geometry, GGA-PBE.

Lattice parameters (Å, degrees): 4.060 4.060 4.060 60.00 60.00 60.00
Positions (direct):
Tl  0.500  0.500  0.500
B  0.250  0.250  0.250
B  0.750  0.750  0.750
Co  0.000  0.000  0.000

Calculated values
As for the space group: Fm-3m. The calculation puts the density at 10.00 Mg/m³.

#Q
TlCoB2: optimized geometry, GGA-PBE.

Lattice parameters (Å, degrees): 3.752 3.752 7.639 75.79 75.79 90.00
Positions (direct):
Co  0.500  0.500  0.000
Co  0.250  0.750  0.500
B  0.375  0.625  0.250
B  0.375  0.125  0.250
B  0.875  0.625  0.750
B  0.375  0.625  0.750
Tl  0.750  0.250  0.500
Tl  0.000  0.000  0.000

Calculated values
As for the space group: I4_1/amd. The calculation puts the density at 9.38 Mg/m³.

Relative energies in meV/atom: #P 1026; #Q 0

#P
Tl2Co2B: optimized geometry, GGA-PBE.

Lattice parameters (Å, degrees): 7.583 7.583 3.066 90.00 90.00 90.00
Each line ends with the local moment (μB).
Positions (direct):
Co  0.106  0.606  0.500  1.48
Co  0.394  0.106  0.500  1.45
Co  0.894  0.394  0.500  1.48
Co  0.606  0.894  0.500  1.45
Tl  0.188  0.312  0.000  -0.03
Tl  0.312  0.812  0.000  -0.03
Tl  0.688  0.188  0.000  -0.03
Tl  0.812  0.688  0.000  -0.03
B  0.500  0.500  0.000  0.02
B  0.000  0.000  0.000  0.02

Calculated values
As for the space group: P4/mbm. The calculation puts the density at 10.12 Mg/m³.

#Q
Tl2Co2B: optimized geometry, GGA-PBE.

Lattice parameters (Å, degrees): 3.297 3.297 8.354 78.62 78.62 90.00
Each line ends with the local moment (μB).
Positions (direct):
Co  0.250  0.750  0.500  1.69
Co  0.750  0.250  0.500  1.69
Tl  0.397  0.397  0.205  -0.01
Tl  0.603  0.603  0.795  -0.01
B  0.000  0.000  0.000  0.03

Calculated values
As for the space group: I4/mmm. The calculation puts the density at 10.24 Mg/m³.

Relative energies in meV/atom: #P 210; #Q 0